1.
VASP calculation (PBE) on an optimized crystal structure of RbMg2Sc.

Unit cell a=5.651 b=5.651 c=5.651 alpha=60.00 beta=60.00 gamma=60.00
Positions (direct):
1 Rb 0.500 0.500 0.500
2 Mg 0.750 0.750 0.750
3 Mg 0.250 0.250 0.250
4 Sc 0.000 0.000 0.000

Properties
As for the total energy: -2.15 eV/atom. Its relative energy among the computed polymorphs is 0 meV per atom. As for the symmetry: Fm-3m. As for the total magnetization: 0.00 μB per formula unit. As for the formation energy from the elements: 0.47 eV/atom.

=====

2.
VASP calculation (PBE) on an optimized crystal structure of RbMg2Sc2.

Unit cell a=9.485 b=9.485 c=3.327 alpha=90.00 beta=90.00 gamma=90.00
Positions (direct):
1 Mg 0.328 0.172 0.500
2 Mg 0.672 0.828 0.500
3 Mg 0.828 0.328 0.500
4 Mg 0.172 0.672 0.500
5 Rb 0.000 0.000 0.000
6 Rb 0.500 0.500 0.000
7 Sc 0.615 0.115 0.000
8 Sc 0.115 0.385 0.000
9 Sc 0.885 0.615 0.000
10 Sc 0.385 0.885 0.000

Properties
As for the total energy: -3.08 eV/atom. As for the symmetry: P4/mbm. As for the total magnetization: 0.12 μB per formula unit. As for the formation energy from the elements: 0.28 eV/atom.

=====

3.
VASP calculation (PBE) on an optimized crystal structure of RbMg2Sc.

Unit cell a=9.017 b=9.017 c=7.285 alpha=51.77 beta=51.77 gamma=90.00
Positions (direct):
1 Sc 0.250 0.750 0.500
2 Sc 0.500 0.500 0.000
3 Mg 0.164 0.625 0.250
4 Mg 0.875 0.836 0.750
5 Mg 0.586 0.125 0.250
6 Mg 0.375 0.414 0.750
7 Rb 0.000 0.000 0.000
8 Rb 0.750 0.250 0.500

Properties
As for the total energy: -1.96 eV/atom. Its relative energy among the computed polymorphs is 192 meV per atom. As for the symmetry: I-42d. As for the total magnetization: 0.00 μB per formula unit. As for the formation energy from the elements: 0.67 eV/atom.

=====

4.
VASP calculation (PBE) on an optimized crystal structure of Rb3MgSc.

Unit cell a=7.064 b=7.064 c=7.064 alpha=90.00 beta=90.00 gamma=90.00
Each line ends with the local moment (μB).
Positions (direct):
1 Mg 0.000 0.000 0.000  0.00
2 Rb 0.000 0.500 0.000  0.00
3 Rb 0.000 0.000 0.500  0.01
4 Rb 0.500 0.000 0.000  0.00
5 Sc 0.500 0.500 0.500  0.92

Properties
As for the total energy: -1.33 eV/atom. Its relative energy among the computed polymorphs is 0 meV per atom. As for the symmetry: Pm-3m. As for the total magnetization: 1.58 μB per formula unit. As for the formation energy from the elements: 0.84 eV/atom.

=====

5.
VASP calculation (PBE) on an optimized crystal structure of Rb2MgSc.

Unit cell a=10.621 b=10.621 c=8.263 alpha=50.01 beta=50.01 gamma=90.00
Each line ends with the local moment (μB).
Positions (direct):
1 Rb 0.875 0.844 0.750  0.01
2 Rb 0.594 0.125 0.250  0.01
3 Rb 0.156 0.625 0.250  0.01
4 Rb 0.375 0.406 0.750  0.01
5 Sc 0.000 0.000 0.000  0.70
6 Sc 0.750 0.250 0.500  0.70
7 Mg 0.250 0.750 0.500  0.01
8 Mg 0.500 0.500 0.000  0.01

Properties
As for the total energy: -1.69 eV/atom. As for the symmetry: I-42d. As for the total magnetization: 1.47 μB per formula unit. As for the formation energy from the elements: 0.78 eV/atom.

=====

6.
VASP calculation (PBE) on an optimized crystal structure of Rb3MgSc2Se6.

Unit cell a=6.985 b=6.985 c=8.325 alpha=98.04 beta=98.04 gamma=120.00
Positions (direct):
1 Se 0.062 0.401 0.187
2 Se 0.723 0.723 0.186
3 Se 0.938 0.599 0.813
4 Se 0.599 0.938 0.813
5 Se 0.401 0.062 0.187
6 Se 0.277 0.277 0.814
7 Sc 0.333 0.667 0.000
8 Sc 0.667 0.333 0.000
9 Rb 0.835 0.165 0.500
10 Rb 0.165 0.835 0.500
11 Rb 0.500 0.500 0.500
12 Mg 0.000 0.000 0.000

Properties
As for the total energy: -4.53 eV/atom. As for the symmetry: C2/m. As for the total magnetization: 0.00 μB per formula unit.

=====

7.
VASP calculation (PBE) on an optimized crystal structure of RbMgScTe3.

Unit cell a=4.405 b=9.694 c=10.864 alpha=111.02 beta=90.00 gamma=90.00
Positions (direct):
1 Mg 0.250 0.087 0.613
2 Mg 0.750 0.913 0.387
3 Te 0.750 0.473 0.152
4 Te 0.250 0.527 0.848
5 Te 0.750 0.876 0.125
6 Te 0.250 0.776 0.452
7 Te 0.250 0.124 0.875
8 Te 0.750 0.224 0.548
9 Sc 0.250 0.667 0.130
10 Sc 0.750 0.333 0.870
11 Rb 0.750 0.782 0.757
12 Rb 0.250 0.218 0.243

Properties
As for the total energy: -4.17 eV/atom. As for the symmetry: P2_1/m. As for the total magnetization: 0.00 μB per formula unit.

=====

8.
VASP calculation (PBE) on an optimized crystal structure of Rb3MgSc3Te8.

Unit cell a=8.428 b=8.365 c=10.048 alpha=114.22 beta=90.00 gamma=120.25
Positions (direct):
1 Sc 0.500 0.500 0.500
2 Sc 0.000 0.500 0.500
3 Sc 0.500 0.000 0.500
4 Rb 0.500 0.500 0.000
5 Rb 0.000 0.000 0.000
6 Rb 0.000 0.500 0.000
7 Te 0.718 0.956 0.692
8 Te 0.763 0.044 0.308
9 Te 0.236 0.473 0.692
10 Te 0.764 0.527 0.308
11 Te 0.237 0.956 0.692
12 Te 0.269 0.538 0.308
13 Te 0.731 0.462 0.692
14 Te 0.282 0.044 0.308
15 Mg 0.000 0.000 0.500

Properties
As for the total energy: -4.28 eV/atom. As for the symmetry: C2/m. As for the total magnetization: 0.00 μB per formula unit.

=====

9.
VASP calculation (PBE) on an optimized crystal structure of Rb3MgSc2Te6.

Unit cell a=7.474 b=7.474 c=8.965 alpha=97.98 beta=97.98 gamma=120.00
Positions (direct):
1 Te 0.063 0.402 0.190
2 Te 0.275 0.275 0.810
3 Te 0.598 0.937 0.810
4 Te 0.402 0.063 0.190
5 Te 0.725 0.725 0.190
6 Te 0.937 0.598 0.810
7 Mg 0.000 0.000 0.000
8 Sc 0.333 0.667 0.000
9 Sc 0.667 0.333 0.000
10 Rb 0.835 0.165 0.500
11 Rb 0.500 0.500 0.500
12 Rb 0.165 0.835 0.500

Properties
As for the total energy: -4.06 eV/atom. As for the symmetry: C2/m. As for the total magnetization: 0.00 μB per formula unit.

=====

10.
VASP calculation (PBE) on an optimized crystal structure of RbMgScTe3.

Unit cell a=4.397 b=8.593 c=11.461 alpha=90.00 beta=90.00 gamma=104.86
Positions (direct):
1 Sc 0.000 0.000 0.500
2 Sc 0.000 0.000 0.000
3 Mg 0.534 0.065 0.250
4 Mg 0.466 0.935 0.750
5 Rb 0.249 0.497 0.250
6 Rb 0.751 0.503 0.750
7 Te 0.619 0.237 0.045
8 Te 0.932 0.862 0.250
9 Te 0.068 0.138 0.750
10 Te 0.619 0.237 0.455
11 Te 0.381 0.763 0.955
12 Te 0.381 0.763 0.545

Properties
As for the total energy: -4.16 eV/atom. As for the symmetry: P2_1/m. As for the total magnetization: 0.00 μB per formula unit.

=====

11.
VASP calculation (PBE) on an optimized crystal structure of RbMgSc2Tl.

Unit cell a=5.561 b=6.256 c=5.561 alpha=90.00 beta=90.00 gamma=90.00
Each line ends with the local moment (μB).
Positions (direct):
1 Sc 0.000 0.000 0.500  0.39
2 Sc 0.500 0.000 0.000  0.47
3 Tl 0.500 0.500 0.500  0.04
4 Rb 0.000 0.500 0.000  0.02
5 Mg 0.000 0.000 0.000  0.02

Properties
As for the total energy: -2.68 eV/atom. As for the symmetry: P4/mmm. As for the total magnetization: 1.81 μB per formula unit. As for the formation energy from the elements: 0.84 eV/atom.

=====

12.
VASP calculation (PBE) on an optimized crystal structure of Rb2MgSe.

Unit cell a=12.221 b=12.221 c=9.059 alpha=47.58 beta=47.58 gamma=90.00
Positions (direct):
1 Mg 0.250 0.750 0.500
2 Mg 0.500 0.500 0.000
3 Rb 0.974 0.625 0.250
4 Rb 0.776 0.125 0.250
5 Rb 0.875 0.026 0.750
6 Rb 0.375 0.224 0.750
7 Se 0.000 0.000 0.000
8 Se 0.750 0.250 0.500

Properties
As for the total energy: -2.18 eV/atom. Its relative energy among the computed polymorphs is 0 meV per atom. As for the symmetry: I-42d. As for the total magnetization: 0.00 μB per formula unit.